No. 1
Compound: ScH3Ir
Source: Alexandria via LeMat-Bulk
Functional: PBE
Structure: relaxed

D(E_F) = 2.69 states/eV/cell
DFT total energy = -27.2 eV per cell

Lattice parameters (Å, degrees): 3.5688 3.5688 3.5688 90.00 90.00 90.00
Closest atoms and distances in Å follow each position.
Space group Pm-3m (No. 221)
Symmetry-distinct sites (fractional):
Sc1 0.0000 0.0000 0.0000 (multiplicity 1)  12 H 2.52
H1 0.0000 0.5000 0.5000 (multiplicity 3)  2 Ir 1.78
Ir1 0.5000 0.5000 0.5000 (multiplicity 1)  6 H 1.78



No. 2
Compound: ScHIr2
Source: Alexandria via LeMat-Bulk
Functional: PBE
Structure: relaxed

D(E_F) = 4.93 states/eV/cell
Excess energy over the best structure of this formula in the dataset = 0.000 eV per atom
DFT total energy = -113.2 eV per cell

Lattice parameters (Å, degrees): 5.4806 5.4806 7.5284 90.00 90.00 90.00
Closest atoms and distances in Å follow each position.
Space group I-42d (No. 122)
Symmetry-distinct sites (fractional):
Sc1 0.0000 0.0000 0.0000 (multiplicity 4)  8 Ir 2.89-3.16
H1 0.0000 0.0000 0.5000 (multiplicity 4)  4 Ir 1.71
Ir1 0.0696 0.2500 0.6250 (multiplicity 8)  2 H 1.71



No. 3
Compound: ScHIr3
Source: Alexandria via LeMat-Bulk
Functional: PBE
Structure: relaxed

D(E_F) = 18.59 states/eV/cell
Excess energy over the best structure of this formula in the dataset = 0.494 eV per atom
DFT total energy = -145.1 eV per cell

Lattice parameters (Å, degrees): 5.0177 5.0177 11.7130 90.00 90.00 90.00
Closest atoms and distances in Å follow each position.
Space group I-4m2 (No. 119)
Symmetry-distinct sites (fractional):
Sc1 0.0000 0.0000 0.2000 (multiplicity 4)  2 H 2.58, 4 Ir 2.67-2.72
H1 0.0000 0.0000 0.5000 (multiplicity 2)  4 Ir 1.74
H2 0.0000 0.5000 0.2500 (multiplicity 2)  4 Ir 2.16
Ir1 0.0000 0.2620 0.4032 (multiplicity 8)  1 H 1.74
Ir2 0.0000 0.5000 0.6229 (multiplicity 4)  2 Sc 2.67, 7 Ir 2.84-2.98, 2 H 2.89



| no. | total magnetization (μB per cell) |
| --- | --- |
| 1 | 0.000 |
| 2 | 0.000 |
| 3 | 0.000 |